Record 1
Ga3AgN | the Alexandria database | GGA-PBE | optimized geometry; excess energy over the best structure of this formula in the dataset = 874.9 meV per atom; energy relative to the elements, uncorrected = 1317 meV/atom; SG = Pm-3m
1.0
4.882 0.000 0.000
0.000 4.882 0.000
0.000 0.000 4.882
Ga Ag N
3 1 1
direct
0.000 0.000 0.500
0.000 0.500 0.000
0.500 0.000 0.000
0.000 0.000 0.000
0.500 0.500 0.500


Record 2
WSe2Cl5 | the Alexandria database | GGA-PBE | optimized geometry; energy relative to the elements, uncorrected = -420 meV/atom; SG = P1
1.0
4.862 0.000 0.000
2.423 7.685 0.000
2.431 0.372 7.683
W Se Cl
1 2 5
direct
0.000 0.000 0.000
0.279 0.500 0.500
0.738 0.500 0.500
0.146 0.008 0.699
0.146 0.699 0.008
0.499 0.000 0.000
0.853 0.301 0.992
0.853 0.992 0.301


Record 3
MgCdCl2 | the Alexandria database | GGA-PBE | optimized geometry; excess energy over the best structure of this formula in the dataset = 228.9 meV per atom; energy relative to the elements, uncorrected = -1037 meV/atom; SG = R3m
1.0
1.841 1.063 8.731
-1.841 1.063 8.731
0.000 -2.125 8.731
Mg Cd Cl
1 1 2
direct
0.000 0.000 0.000
0.247 0.247 0.247
0.518 0.518 0.518
0.718 0.718 0.718


Record 4
Be4NbNi | the Alexandria database | GGA-PBE | optimized geometry; uncorrected energy = -0.19229 hartree per atom; SG = F-43m
1.0
0.000 3.126 3.126
3.126 0.000 3.126
3.126 3.126 0.000
Be Nb Ni
4 1 1
direct
0.377 0.377 0.377
0.377 0.377 0.869
0.377 0.869 0.377
0.869 0.377 0.377
0.750 0.750 0.750
0.000 0.000 0.000


Record 5
Ce2NiN | the Alexandria database | GGA-PBE | optimized geometry; excess energy over the best structure of this formula in the dataset = 0.0 meV per atom; energy relative to the elements, uncorrected = -503 meV/atom; SG = P4/mmm
1.0
3.050 0.000 0.000
0.000 3.050 0.000
0.000 0.000 7.005
Ce Ni N
2 1 1
direct
0.000 0.000 0.212
0.000 0.000 0.788
0.500 0.500 0.500
0.500 0.500 0.000


Record 6
MgRhAu2 | the Alexandria database | GGA-PBE | optimized geometry; uncorrected energy = -0.15074 hartree per atom; SG = Pmmm
1.0
2.952 0.000 0.000
0.000 3.946 0.000
0.000 0.000 5.769
Mg Rh Au
1 1 2
direct
0.000 0.000 0.000
0.000 0.000 0.500
0.500 0.500 0.252
0.500 0.500 0.748


Record 7
FeSi2Cl | the Alexandria database | GGA-PBE | optimized geometry; excess energy over the best structure of this formula in the dataset = 434.3 meV per atom; energy relative to the elements, uncorrected = 531 meV/atom; SG = P4/mmm
1.0
3.463 0.000 0.000
0.000 3.463 0.000
0.000 0.000 5.711
Fe Si Cl
1 2 1
direct
0.000 0.000 0.000
0.000 0.500 0.500
0.500 0.000 0.500
0.500 0.500 0.000


Record 8
CuNi | the Alexandria database | GGA-PBE | optimized geometry; uncorrected energy = -0.17573 hartree per atom; SG = P6_3/mmc
1.0
8.137 0.000 0.000
-4.068 7.047 0.000
0.000 0.000 2.535
Cu Ni
6 6
direct
0.155 0.309 0.250
0.155 0.845 0.250
0.309 0.155 0.750
0.691 0.845 0.250
0.845 0.155 0.750
0.845 0.691 0.750
0.140 0.570 0.750
0.430 0.570 0.750
0.430 0.860 0.750
0.570 0.140 0.250
0.570 0.430 0.250
0.860 0.430 0.250